The following is a GGA-PBE calculation of a geometry-optimized SmLuCd2 structure, from Alexandria via LeMat-Bulk.

Lattice parameters (Å, degrees): 3.689 3.689 7.710 90.00 90.00 90.00
Fractional coordinates of all 4 atoms:
Sm  0.000  0.000  0.000
Lu  0.000  0.000  0.500
Cd  0.500  0.500  0.268
Cd  0.500  0.500  0.732

## Properties
SG ... No. 123
Theoretical density ... 8.71 g cm⁻³
Offset from the most stable computed form ... 0 meV/atom
DOS(E_F) ... 0.84 states/eV/atom